Entry 1:
# TmHfS3

TmHfS3 after structural relaxation (PBE-GGA, Alexandria via LeMat-Bulk).

```
data_TmHfS3
_cell_length_a 3.5397
_cell_length_b 3.5397
_cell_length_c 8.1014
_cell_angle_alpha 90.00
_cell_angle_beta 90.00
_cell_angle_gamma 90.00
_symmetry_space_group_name_H-M 'P 4/m m m'
_symmetry_Int_Tables_number 123
_symmetry_space_group_name_Hall '-P 4 2'
loop_
_atom_site_label
_atom_site_type_symbol
_atom_site_fract_x
_atom_site_fract_y
_atom_site_fract_z
Tm1 Tm 0.0000 0.0000 0.0000
Hf1 Hf 0.5000 0.5000 0.5000
S1 S 0.0000 0.0000 0.5000
S2 S 0.5000 0.5000 0.1807
```

The value obtained for the density of states at the Fermi level is 2.09 states/eV per cell. The value obtained for the formation energy (no corrections) is -1.6127 eV/atom. As for the uncorrected energy: -6.974 eV per atom.

=====

Entry 2:
# Tm2HfS

Tm2HfS after structural relaxation (PBE-GGA, Alexandria via LeMat-Bulk).

```
data_Tm2HfS
_cell_length_a 3.4651
_cell_length_b 3.4651
_cell_length_c 28.8760
_cell_angle_alpha 90.00
_cell_angle_beta 90.00
_cell_angle_gamma 120.00
_symmetry_space_group_name_H-M 'R -3 m'
_symmetry_Int_Tables_number 166
_symmetry_space_group_name_Hall '-R 3 2"'
loop_
_atom_site_label
_atom_site_type_symbol
_atom_site_fract_x
_atom_site_fract_y
_atom_site_fract_z
Tm1 Tm 0.0000 0.0000 0.1070
Hf1 Hf 0.0000 0.0000 0.0000
S1 S 0.0000 0.0000 0.5000
```

The value obtained for the density of states at the Fermi level is 11.01 states/eV per cell. The value obtained for the formation energy (no corrections) is -0.4657 eV/atom. As for the uncorrected energy: -6.222 eV per atom.

=====

Entry 3:
# TmHf2S

TmHf2S after structural relaxation (PBE-GGA, Alexandria via LeMat-Bulk).

```
data_TmHf2S
_cell_length_a 3.4246
_cell_length_b 3.4246
_cell_length_c 27.6310
_cell_angle_alpha 90.00
_cell_angle_beta 90.00
_cell_angle_gamma 120.00
_symmetry_space_group_name_H-M 'R -3 m'
_symmetry_Int_Tables_number 166
_symmetry_space_group_name_Hall '-R 3 2"'
loop_
_atom_site_label
_atom_site_type_symbol
_atom_site_fract_x
_atom_site_fract_y
_atom_site_fract_z
Tm1 Tm 0.0000 0.0000 0.0000
Hf1 Hf 0.0000 0.0000 0.1118
S1 S 0.0000 0.0000 0.5000
```

The value obtained for the density of states at the Fermi level is 10.16 states/eV per cell. The value obtained for the formation energy (no corrections) is -0.2828 eV/atom. As for the uncorrected energy: -7.409 eV per atom.

=====

Entry 4:
# TmHfS2

TmHfS2 after structural relaxation (PBE-GGA, Alexandria via LeMat-Bulk).

```
data_TmHfS2
_cell_length_a 3.7455
_cell_length_b 3.7455
_cell_length_c 18.2570
_cell_angle_alpha 90.00
_cell_angle_beta 90.00
_cell_angle_gamma 120.00
_symmetry_space_group_name_H-M 'R -3 m'
_symmetry_Int_Tables_number 166
_symmetry_space_group_name_Hall '-R 3 2"'
loop_
_atom_site_label
_atom_site_type_symbol
_atom_site_fract_x
_atom_site_fract_y
_atom_site_fract_z
Tm1 Tm 0.0000 0.0000 0.0000
Hf1 Hf 0.0000 0.0000 0.5000
S1 S 0.0000 0.0000 0.2461
```

The value obtained for the density of states at the Fermi level is 4.05 states/eV per cell. The value obtained for the formation energy (no corrections) is -1.5303 eV/atom. For the relative energy among the computed polymorphs, the calculation gives 0.000 eV/atom. As for the uncorrected energy: -7.200 eV per atom.

=====

Entry 5:
# Tm2HfS4

Tm2HfS4 after structural relaxation (PBE-GGA, Alexandria via LeMat-Bulk).

```
data_Tm2HfS4
_cell_length_a 7.7709
_cell_length_b 10.6277
_cell_length_c 3.7224
_cell_angle_alpha 90.00
_cell_angle_beta 90.00
_cell_angle_gamma 90.00
_symmetry_space_group_name_H-M 'C m m m'
_symmetry_Int_Tables_number 65
_symmetry_space_group_name_Hall '-C 2 2'
loop_
_atom_site_label
_atom_site_type_symbol
_atom_site_fract_x
_atom_site_fract_y
_atom_site_fract_z
Tm1 Tm 0.2500 0.2500 0.0000
Hf1 Hf 0.0000 0.0000 0.5000
S1 S 0.0000 0.2482 0.5000
S2 S 0.2342 0.0000 0.0000
```

The value obtained for the density of states at the Fermi level is 6.60 states/eV per cell. The value obtained for the formation energy (no corrections) is -1.8733 eV/atom. As for the uncorrected energy: -6.931 eV per atom.

=====

Entry 6:
# TmHfS2

TmHfS2 after structural relaxation (PBE-GGA, Alexandria via LeMat-Bulk).

```
data_TmHfS2
_cell_length_a 3.5893
_cell_length_b 3.5893
_cell_length_c 20.1670
_cell_angle_alpha 90.00
_cell_angle_beta 90.00
_cell_angle_gamma 120.00
_symmetry_space_group_name_H-M 'R 3 m'
_symmetry_Int_Tables_number 160
_symmetry_space_group_name_Hall 'R 3 -2"'
loop_
_atom_site_label
_atom_site_type_symbol
_atom_site_fract_x
_atom_site_fract_y
_atom_site_fract_z
Tm1 Tm 0.0000 0.0000 0.0000
Hf1 Hf 0.0000 0.0000 0.8278
S1 S 0.0000 0.0000 0.2418
S2 S 0.0000 0.0000 0.4183
```

The value obtained for the density of states at the Fermi level is 8.47 states/eV per cell. The value obtained for the formation energy (no corrections) is -1.5274 eV/atom. For the relative energy among the computed polymorphs, the calculation gives 0.003 eV/atom. As for the uncorrected energy: -7.197 eV per atom.